Computed, not measured: crystalline GaCoAu2O4 at its relaxed geometry at the PBE with a Hubbard U level of DFT.

Unit cell a=2.9645 b=2.9645 c=12.3299 alpha=90.00 beta=90.00 gamma=120.00
Space group P-3m1 (No. 164)
Inequivalent atoms, fractional coordinates:
Ga  0.0000  0.0000  0.0000
Co  0.0000  0.0000  0.5000
Au  0.3333  0.6667  0.2554
O  0.3333  0.6667  0.0829
O  0.3333  0.6667  0.4243

Properties
The calculation puts the total energy at -5.2137 eV per atom. The calculation puts the volume at 11.730 Å³ per atom.